! RePdBr2, optimized geometry, DFT GGA-PBE; values from VASP
! energy relative to the elements, uncorrected	4.05	eV/f.u.
! calculated volume	193.90	Å³ per cell
&SYSTEM
  ibrav = 0, nat = 8, ntyp = 3
/
ATOMIC_SPECIES
Pd 106.42 Pd.upf
Re 186.21 Re.upf
Br 79.90 Br.upf
ATOMIC_POSITIONS crystal
Pd 0.250 0.750 0.500
Re 0.750 0.250 0.500
Br 0.875 0.897 0.750
Br 0.103 0.625 0.250
Br 0.375 0.353 0.750
Pd 0.500 0.500 0.000
Br 0.647 0.125 0.250
Re 0.000 0.000 0.000
CELL_PARAMETERS angstrom
6.060 0.000 0.000
0.000 6.060 0.000
3.030 3.030 5.280